Entry 1:
BaMg2Zn3 | PBE | relaxed

## Properties
Size of the total moment: 0.00 μB per formula unit
Mass density: 4.34 Mg/m³
DOS at the Fermi energy: 5.47 states/eV per cell

Cell: 7.019 7.019 6.131 Å, 90.00 90.00 75.38°
Fractional coordinates of all 12 atoms:
Ba1 0.178 0.822 0.750
Ba2 0.822 0.178 0.250
Mg1 0.297 0.297 0.000
Mg2 0.297 0.297 0.500
Mg3 0.703 0.703 0.000
Mg4 0.703 0.703 0.500
Zn1 0.040 0.613 0.250
Zn2 0.387 0.960 0.250
Zn3 0.407 0.593 0.250
Zn4 0.593 0.407 0.750
Zn5 0.613 0.040 0.750
Zn6 0.960 0.387 0.750

***

Entry 2:
Ba2MgZn | PBE | relaxed

## Properties
Size of the total moment: 0.00 μB per formula unit
Mass density: 3.55 Mg/m³
DOS at the Fermi energy: 5.09 states/eV per cell

Cell: 10.713 10.713 10.713 Å, 23.40 23.40 23.40°
Fractional coordinates of all 4 atoms:
Ba1 0.242 0.242 0.242
Ba2 0.758 0.758 0.758
Mg1 0.000 0.000 0.000
Zn1 0.500 0.500 0.500

***

Here are the calculated electronic total energy numbers, same order: -1.654, -1.592 (eV/atom).